VASP calculation (PBE) on crystalline LiDyHo2Se4 at its relaxed geometry.

Calculated values
Uncorrected formation energy, eV/atom: -1.7343
Energy, eV per cell: -43.5

Geometry as extended XYZ:
```
8
Lattice="4.027 0.000 0.000 0.000 6.998 0.134 0.000 -2.434 6.560" Properties=species:S:1:pos:R:3 pbc="T T T"
Ho 0.000 2.282 3.347
Ho 2.013 -1.217 3.280
Se 2.013 1.192 1.650
Se 0.000 -0.043 4.990
Dy 0.000 0.000 0.000
Se 2.013 3.372 5.044
Se 0.000 4.608 1.704
Li 2.013 3.499 0.067
```